No. 1
Entry from Alexandria via LeMat-Bulk: a geometry-optimized TbCe2Pu structure (PBE-GGA).

The space group is R-3m (No. 166, hexagonal axes) and the conventional cell measures 3.5696, 3.5696 and 29.6460 Å, with angles of 90.00, 90.00 and 120.00 degrees. The inequivalent atoms are Tb at (0.0000, 0.0000, 0.0000), Ce at (0.0000, 0.0000, 0.1134) and Pu at (0.0000, 0.0000, 0.5000).

For the density of states at the Fermi level, the calculation gives 29.454 states/eV per cell. Its formation energy is 0.458 eV per atom.

***

No. 2
Entry from Alexandria via LeMat-Bulk: a geometry-optimized TbCe14Pu structure (PBE-GGA).

The space group is Amm2 (No. 38) and the conventional cell measures 9.4233, 9.4614 and 9.4640 Å, with angles of 90.00, 90.00 and 90.00 degrees. The inequivalent atoms are Tb at (0.0000, 0.0000, 0.0000), Ce at (0.0000, 0.2496, 0.2507), Ce at (0.2524, 0.0000, 0.2526), Ce at (0.2529, 0.0000, 0.7487), Ce at (0.2527, 0.2483, 0.5008), Ce at (0.5000, 0.0000, 0.0010), Ce at (0.5000, 0.0000, 0.5002), Ce at (0.5000, 0.2502, 0.2507) and Pu at (0.0000, 0.0000, 0.5011).

For the density of states at the Fermi level, the calculation gives 72.631 states/eV per cell. Its formation energy is 0.037 eV per atom.